! AsRuRh2, optimized geometry, DFT GGA-PBE; values from VASP
&SYSTEM
  ibrav = 0, nat = 4, ntyp = 3
/
ATOMIC_SPECIES
As 74.92 As.upf
Ru 101.07 Ru.upf
Rh 102.91 Rh.upf
ATOMIC_POSITIONS crystal
As 0.500 0.500 0.750
Ru 0.500 0.500 0.250
Rh 0.000 0.000 0.995
Rh 0.000 0.000 0.505
CELL_PARAMETERS angstrom
-0.756 -2.062 -1.809
1.940 -1.728 1.160
-4.894 -2.335 4.707
! Symmetry: P4/mmm (123)
! D(E_F) in states/eV per atom: 1.18
! Energy of formation in eV/f.u.: 0.20
! M_tot in μB per cell: 0.00

=====

! LiHoTh2Te5, optimized geometry, DFT GGA-PBE; values from VASP
&SYSTEM
  ibrav = 0, nat = 18, ntyp = 4
/
ATOMIC_SPECIES
Th 232.04 Th.upf
Te 127.60 Te.upf
Ho 164.93 Ho.upf
Li 6.94 Li.upf
ATOMIC_POSITIONS crystal
Th 0.894 0.787 0.181
Th 0.130 0.260 0.301
Th 0.870 0.740 0.801
Th 0.106 0.213 0.681
Te 0.310 0.620 0.343
Te 0.049 0.098 0.075
Te 0.690 0.380 0.843
Te 0.951 0.902 0.575
Te 0.282 0.564 0.668
Te 0.364 0.728 0.998
Te 0.718 0.436 0.168
Te 0.636 0.272 0.498
Te 0.499 0.998 0.788
Te 0.501 0.002 0.288
Ho 0.200 0.400 0.008
Ho 0.800 0.600 0.508
Li 0.437 0.874 0.462
Li 0.563 0.126 0.962
CELL_PARAMETERS angstrom
4.288 0.000 0.000
-2.144 9.342 0.000
0.000 0.000 13.305
! Formation energy without anion corrections in eV per atom: -1.127
! Symmetry: Cmc2_1 (36)
! D(E_F) in states/eV per atom: 0.64
! M_tot in μB per cell: 0.00